Rh2NF: PBEsol geometry, SCAN.

Results
Energy (eV/atom): -19.5045

abc: 3.865 3.865 3.865
angles: 60.00 60.00 60.00
Sites, in units of the cell vectors:
Rh  0.250  0.250  0.250
Rh  0.750  0.750  0.750
N  0.000  0.000  0.000
F  0.500  0.500  0.500

DyMg2: PBEsol geometry, SCAN.

Results
Energy of formation (eV per atom): -0.072

abc: 5.992 5.992 9.680
angles: 90.00 90.00 120.00
Sites, in units of the cell vectors:
Dy  0.333  0.667  0.064
Dy  0.333  0.667  0.436
Dy  0.667  0.333  0.564
Dy  0.667  0.333  0.936
Mg  0.000  0.000  0.000
Mg  0.000  0.000  0.500
Mg  0.171  0.342  0.750
Mg  0.171  0.829  0.750
Mg  0.342  0.171  0.250
Mg  0.658  0.829  0.750
Mg  0.829  0.171  0.250
Mg  0.829  0.658  0.250

BaScMo: PBEsol geometry, SCAN.

Results
Energy of formation (eV per atom): 0.903

abc: 3.344 3.344 7.883
angles: 90.00 90.00 120.00
Sites, in units of the cell vectors:
Ba  0.000  0.000  0.000
Sc  0.667  0.333  0.432
Mo  0.333  0.667  0.676

ZrCr2Cd: PBEsol geometry, SCAN.

Results
Energy of formation (eV per atom): 0.510

abc: 2.845 4.492 5.316
angles: 90.00 95.71 90.00
Sites, in units of the cell vectors:
Zr  0.000  0.000  0.000
Cr  0.325  0.500  0.820
Cr  0.675  0.500  0.180
Cd  0.500  0.000  0.500

BaSc2Co: PBEsol geometry, SCAN.

Results
Energy of formation (eV per atom): 0.245
Polymorph energy (0 for the lowest one) (eV per atom): 0.000

abc: 8.176 8.176 8.176
angles: 157.50 150.32 37.56
Sites, in units of the cell vectors:
Ba  0.000  0.000  0.000
Sc  0.316  0.316  0.000
Sc  0.677  0.177  0.500
Co  0.191  0.691  0.500

LiZrI3: PBEsol geometry, SCAN.

Results
Energy (eV/atom): -28.8303

abc: 5.224 5.224 5.224
angles: 90.00 90.00 90.00
Sites, in units of the cell vectors:
Li  0.000  0.000  0.000
Zr  0.500  0.500  0.500
I  0.000  0.000  0.500
I  0.000  0.500  0.000
I  0.500  0.000  0.000

TiPdC2: PBEsol geometry, SCAN.

Results
Energy of formation (eV per atom): 0.583

abc: 5.843 5.843 5.843
angles: 134.21 134.21 66.75
Sites, in units of the cell vectors:
Ti  0.000  0.000  0.000
Ti  0.750  0.250  0.500
Pd  0.250  0.750  0.500
Pd  0.500  0.500  0.000
C  0.133  0.625  0.008
C  0.375  0.383  0.508
C  0.617  0.125  0.992
C  0.875  0.867  0.492

LiCdAu: PBEsol geometry, SCAN.

Results
Energy of formation (eV per atom): -0.449
Polymorph energy (0 for the lowest one) (eV per atom): 0.000

abc: 4.997 4.997 4.997
angles: 145.53 133.90 58.81
Sites, in units of the cell vectors:
Li  0.000  0.000  0.000
Cd  0.324  0.324  0.000
Au  0.650  0.650  0.000

D(E_F)
In order: 3.35; 2.84; 1.98; 4.16; 4.25; 1.46; 2.29; 0.84
Unit: states/eV/f.u.